Record 1
{"formula": "Sm2Ho3Tm5", "functional": "PBE", "state": "optimized geometry", "lattice": [[-4.905, 1.113, -4.415], [4.408, -3.542, -10.863], [-0.737, -10.151, -6.813]], "species": ["Sm", "Sm", "Sm", "Sm", "Ho", "Ho", "Ho", "Ho", "Ho", "Ho", "Tm", "Tm", "Tm", "Tm", "Tm", "Tm", "Tm", "Tm", "Tm", "Tm"], "frac_coords": [[0.126, 0.774, 0.974], [0.874, 0.226, 0.026], [0.626, 0.974, 0.774], [0.374, 0.026, 0.226], [0.250, 0.000, 0.000], [0.750, 0.000, 0.000], [0.373, 0.378, 0.876], [0.627, 0.622, 0.124], [0.873, 0.876, 0.378], [0.127, 0.124, 0.622], [0.250, 0.500, 0.500], [0.750, 0.500, 0.500], [0.502, 0.748, 0.748], [0.998, 0.252, 0.252], [0.498, 0.252, 0.252], [0.002, 0.748, 0.748], [0.124, 0.463, 0.289], [0.876, 0.537, 0.711], [0.624, 0.289, 0.463], [0.376, 0.711, 0.537]], "e_tot_ev_per_cell": -82.5, "dos_at_fermi_per_ev_cell": 33.24, "rho_g_cm3": 8.08, "magnetic_moment_mub_per_fu": 0.00, "relative_energy_mev_per_atom": 226}



Record 2
{"formula": "CaRh2", "functional": "PBE", "state": "optimized geometry", "lattice": [[2.279, -3.947, 0.000], [2.279, 3.947, 0.000], [0.000, 0.000, 3.019]], "species": ["Ca", "Rh", "Rh"], "frac_coords": [[0.000, 0.000, 0.500], [0.667, 0.333, 0.000], [0.333, 0.667, 0.000]], "e_tot_ev_per_cell": -16.9, "dos_at_fermi_per_ev_cell": 3.78, "rho_g_cm3": 7.52, "magnetic_moment_mub_per_fu": 0.00}



Record 3
{"formula": "Pr8Y2Er", "functional": "PBE", "state": "optimized geometry", "lattice": [[-1.794, 4.221, 3.938], [-6.196, -1.540, 6.690], [3.085, -3.005, 8.557]], "species": ["Pr", "Pr", "Pr", "Pr", "Pr", "Pr", "Pr", "Pr", "Y", "Y", "Er"], "frac_coords": [[0.819, 0.098, 0.236], [0.819, 0.334, 0.764], [0.297, 0.421, 0.000], [0.500, 0.795, 0.410], [0.500, 0.205, 0.590], [0.703, 0.579, 0.000], [0.181, 0.666, 0.236], [0.181, 0.902, 0.764], [0.000, 0.310, 0.380], [0.000, 0.690, 0.620], [0.500, 0.000, 0.000]], "e_tot_ev_per_cell": -54.2, "dos_at_fermi_per_ev_cell": 14.64, "rho_g_cm3": 6.26, "magnetic_moment_mub_per_fu": 0.00, "relative_energy_mev_per_atom": 26}